PBE Na3CaAu4, relaxed; magnetization = 0.00 μB/cell; uncorrected energy = -2.82 eV/atom; DOS at the Fermi energy = 0.15 states/eV per atom; formation energy = -0.44 eV/atom; symmetry = Pmma, No. 51; calculated density = 8.4 Mg/m³
1.0
10.0181 0.0000 0.0000
0.0000 7.0187 0.0000
0.0000 0.0000 5.0619
Na Ca Au
6 2 8
Cartesian
0.0000 0.0000 0.0000
2.5045 0.0000 2.2394
2.5045 3.5094 2.3045
5.0090 0.0000 0.0000
7.5136 0.0000 2.8225
7.5136 3.5094 2.7574
0.0000 3.5094 0.0000
5.0090 3.5094 0.0000
0.0000 1.7473 2.5310
0.0000 5.2714 2.5310
2.5045 1.7483 4.7313
2.5045 5.2704 4.7313
5.0090 1.7473 2.5310
5.0090 5.2714 2.5310
7.5136 1.7483 0.3306
7.5136 5.2704 0.3306

***

PBE Na3CaAu2, relaxed; magnetization = 0.00 μB/cell; uncorrected energy = -2.46 eV/atom; DOS at the Fermi energy = 0.41 states/eV per atom; formation energy = -0.37 eV/atom; symmetry = C2/m, No. 12; calculated density = 5.1 Mg/m³
1.0
9.0276 -2.0394 0.0000
9.0276 2.0394 0.0000
-4.7242 0.0000 8.8639
Na Ca Au
6 2 4
Cartesian
-0.1551 0.0000 1.5541
2.8390 0.0000 5.4335
6.0001 0.0000 0.2139
7.3308 0.0000 8.6500
10.4919 0.0000 3.4304
13.4860 0.0000 7.3098
-0.8606 0.0000 5.5543
14.1915 0.0000 3.3095
3.2524 0.0000 2.1046
5.8658 0.0000 5.6371
7.4651 0.0000 3.2268
10.0785 0.0000 6.7593

***

PBE Na2Ca2Au, relaxed; magnetization = 0.00 μB/cell; uncorrected energy = -2.11 eV/atom; DOS at the Fermi energy = 0.63 states/eV per atom; formation energy = -0.13 eV/atom; symmetry = P4/mbm, No. 127; calculated density = 2.9 Mg/m³
1.0
7.8060 0.0000 0.0000
0.0000 7.8060 0.0000
0.0000 0.0000 6.0402
Na Ca Au
4 4 2
Cartesian
1.2431 2.6599 0.0000
2.6599 6.5629 0.0000
5.1461 1.2431 0.0000
6.5629 5.1461 0.0000
1.3120 5.2150 3.0201
2.5910 1.3120 3.0201
5.2150 6.4940 3.0201
6.4940 2.5910 3.0201
0.0000 0.0000 3.0201
3.9030 3.9030 3.0201

***

PBE Na2Ca6Au, relaxed; magnetization = 0.00 μB/cell; uncorrected energy = -2.08 eV/atom; DOS at the Fermi energy = 0.76 states/eV per atom; formation energy = -0.08 eV/atom; symmetry = Immm, No. 71; calculated density = 2.5 Mg/m³
1.0
-5.0237 5.5067 5.7965
5.0237 -5.5067 5.7965
5.0237 5.5067 -5.7965
Na Ca Au
4 12 2
Cartesian
3.5359 0.0000 0.0000
6.5115 0.0000 0.0000
0.0000 1.4857 0.0000
0.0000 9.5278 0.0000
5.0237 -1.8899 3.0948
3.2838 5.5067 -2.8900
1.7399 0.0000 2.9065
2.8079 3.4761 0.0000
2.2158 -2.0306 5.7965
5.0237 1.8899 3.0948
0.0000 3.6168 2.7017
2.8079 7.5373 0.0000
2.2158 2.0306 5.7965
3.2838 5.5067 2.8900
1.7399 0.0000 8.6866
0.0000 7.3966 2.7017
0.0000 5.5067 0.0000
0.0000 0.0000 5.7965

***

PBE NaCa2Au9, relaxed; magnetization = 0.00 μB/cell; uncorrected energy = -3.33 eV/atom; DOS at the Fermi energy = 0.35 states/eV per atom; formation energy = -0.43 eV/atom; symmetry = R-3m, No. 166; calculated density = 12.1 Mg/m³
1.0
2.8095 1.6220 9.3996
-2.8095 1.6220 9.3996
0.0000 -3.2441 9.3996
Na Ca Au
1 2 9
Cartesian
0.0000 0.0000 0.0000
0.0000 0.0000 3.9434
0.0000 0.0000 24.2553
-1.4205 -0.8201 11.7918
0.0000 0.0000 9.3914
0.0000 -1.6402 16.4070
-1.4204 0.8201 16.4070
0.0000 0.0000 14.0994
1.4205 -0.8201 11.7918
0.0000 1.6402 11.7918
0.0000 0.0000 18.8074
1.4204 0.8201 16.4070

***

PBE Na2Ca2Au, relaxed; magnetization = 0.00 μB/cell; uncorrected energy = -2.03 eV/atom; DOS at the Fermi energy = 0.65 states/eV per atom; formation energy = -0.04 eV/atom; symmetry = P4/mbm, No. 127; calculated density = 3.5 Mg/m³
1.0
7.5663 0.0000 0.0000
0.0000 7.5663 0.0000
0.0000 0.0000 5.4155
Na Ca Au
4 4 2
Cartesian
1.0503 2.7329 0.0000
2.7329 6.5160 0.0000
4.8335 1.0503 0.0000
6.5160 4.8335 0.0000
1.4061 5.1893 2.7077
2.3770 1.4061 2.7077
5.1893 6.1602 2.7077
6.1602 2.3770 2.7077
0.0000 0.0000 0.0000
3.7832 3.7832 0.0000

***

PBE Na2Ca2Au15, relaxed; magnetization = 0.00 μB/cell; uncorrected energy = -3.28 eV/atom; DOS at the Fermi energy = 0.25 states/eV per atom; formation energy = -0.34 eV/atom; symmetry = R-3m, No. 166; calculated density = 13.1 Mg/m³
1.0
4.8294 2.7882 4.8176
-4.8294 2.7882 4.8176
0.0000 -5.5765 4.8176
Na Ca Au
2 2 15
Cartesian
0.0000 0.0000 1.3979
0.0000 0.0000 13.0548
0.0000 0.0000 5.1144
0.0000 0.0000 9.3384
-4.8294 0.0000 7.2264
-1.5109 -2.9595 4.8176
-2.4147 1.3941 2.4088
-3.3185 0.1712 4.8176
-2.3639 -1.3648 7.0560
1.5109 -2.9595 4.8176
-1.8075 2.7882 4.8176
0.0000 -2.7296 7.3968
-2.3639 1.3648 7.3968
2.4147 1.3941 2.4088
2.3639 -1.3648 7.0560
0.0000 2.7296 7.0560
3.3185 0.1712 4.8176
1.8075 2.7883 4.8176
2.3639 1.3648 7.3968

***

PBE NaCa3Au, relaxed; magnetization = 0.00 μB/cell; uncorrected energy = -2.43 eV/atom; DOS at the Fermi energy = 0.67 states/eV per atom; formation energy = -0.31 eV/atom; symmetry = Pm-3m, No. 221; calculated density = 2.9 Mg/m³
1.0
5.8025 0.0000 0.0000
0.0000 5.8025 0.0000
0.0000 0.0000 5.8025
Na Ca Au
1 3 1
Cartesian
0.0000 0.0000 0.0000
0.0000 2.9012 2.9012
2.9012 0.0000 2.9012
2.9012 2.9012 0.0000
2.9012 2.9012 2.9012

***

PBE NaCa2Au3, relaxed; magnetization = 0.00 μB/cell; uncorrected energy = -3.17 eV/atom; DOS at the Fermi energy = 0.46 states/eV per atom; formation energy = -0.64 eV/atom; symmetry = P4/mmm, No. 123; calculated density = 8.2 Mg/m³
1.0
3.6551 0.0000 0.0000
0.0000 3.6551 0.0000
0.0000 0.0000 10.4928
Na Ca Au
1 2 3
Cartesian
0.0000 0.0000 0.0000
0.0000 0.0000 3.4440
0.0000 0.0000 7.0488
1.8276 1.8276 1.7206
1.8276 1.8276 5.2464
1.8276 1.8276 8.7721

***

PBE NaCa5Au6, relaxed; magnetization = 0.00 μB/cell; uncorrected energy = -3.30 eV/atom; DOS at the Fermi energy = 0.58 states/eV per atom; formation energy = -0.72 eV/atom; symmetry = Immm, No. 71; calculated density = 8.1 Mg/m³
1.0
-2.5728 3.6313 7.7108
2.5728 -3.6313 7.7108
2.5728 3.6313 -7.7108
Na Ca Au
1 5 6
Cartesian
0.0000 0.0000 0.0000
2.5728 0.0000 2.4225
0.0000 0.0000 5.0815
0.0000 3.6313 0.0000
0.0000 0.0000 10.3400
0.0000 3.6313 5.2883
2.5728 -1.7373 5.0576
2.5728 1.9628 0.0000
0.0000 1.8940 2.6532
2.5728 1.7373 5.0576
0.0000 1.6685 7.7108
0.0000 5.3686 2.6532

***

PBE NaCaAu4, relaxed; magnetization = 0.00 μB/cell; uncorrected energy = -3.23 eV/atom; DOS at the Fermi energy = 0.81 states/eV per atom; formation energy = -0.49 eV/atom; symmetry = F-43m, No. 216; calculated density = 11.0 Mg/m³
1.0
0.0000 3.9989 3.9989
3.9989 0.0000 3.9989
3.9989 3.9989 0.0000
Na Ca Au
1 1 4
Cartesian
0.0000 0.0000 0.0000
1.9994 1.9994 1.9994
5.0005 2.9973 2.9973
2.9973 5.0005 2.9973
2.9973 2.9973 5.0005
5.0005 5.0005 5.0005

***

PBE NaCaAu, relaxed; magnetization = 0.00 μB/cell; uncorrected energy = -2.57 eV/atom; DOS at the Fermi energy = 0.44 states/eV per atom; formation energy = -0.37 eV/atom; symmetry = Cm, No. 8; calculated density = 4.7 Mg/m³
1.0
15.3437 0.0000 0.0000
0.0000 3.8280 0.0000
-3.2527 0.0000 6.2804
Na Ca Au
4 4 4
Cartesian
0.0000 0.0000 0.0000
-0.7021 1.9140 3.6061
7.6719 1.9140 0.0000
6.9698 0.0000 3.6061
4.2730 0.0000 0.2846
2.6924 0.0000 3.3310
11.9448 1.9140 0.2846
10.3642 1.9140 3.3310
2.0744 1.9140 1.0779
4.8904 1.9140 2.5387
9.7463 0.0000 1.0779
12.5622 0.0000 2.5387

***

- formation energy of number 11 (NaCaAu4)?
  -0.49 eV/atom

***

- Among the records above, which one has the highest formation energy?
  number 6

***

- calculated density of number 9 (NaCa2Au3)?
  8.2 Mg/m³